Record 1
VASP calculation (GGA-PBE) on crystalline ReOs7 at its relaxed geometry.

Cell: 5.465 5.465 5.465 Å, 60.00 60.00 60.00°
Element x y z (fractional)
Re (0.000, 0.000, 0.000)
Os (0.000, 0.500, 0.500)
Os (0.500, 0.000, 0.500)
Os (0.500, 0.500, 0.000)
Os (0.000, 0.000, 0.500)
Os (0.000, 0.500, 0.000)
Os (0.500, 0.000, 0.000)
Os (0.500, 0.500, 0.500)

Results
The calculation puts the energy above the lowest structure with this stoichiometry at 15.8 meV per atom. Its energy is -11.25 eV per atom. As for the energy of formation from the pure elements: 13 kJ per mole of atoms. The volume is 14.425 Å³/atom.

---

Record 2
VASP calculation (GGA-PBE) on crystalline Re5Os at its relaxed geometry.

Cell: 2.776 7.352 4.445 Å, 90.00 90.00 79.12°
Element x y z (fractional)
Os (0.001, 0.998, 0.000)
Re (0.223, 0.555, 0.500)
Re (0.334, 0.331, 0.000)
Re (0.555, 0.890, 0.500)
Re (0.665, 0.669, 0.000)
Re (0.888, 0.223, 0.500)

Results
The calculation puts the energy above the lowest structure with this stoichiometry at 5.5 meV per atom. Its energy is -12.28 eV per atom. As for the energy of formation from the pure elements: -3 kJ per mole of atoms. The volume is 14.847 Å³/atom.

---

Record 3
VASP calculation (GGA-PBE) on crystalline ReOs7 at its relaxed geometry.

Cell: 4.743 4.743 7.710 Å, 66.01 66.01 47.99°
Element x y z (fractional)
Re (0.500, 0.500, 0.000)
Os (0.250, 0.250, 0.875)
Os (0.000, 0.000, 0.750)
Os (0.749, 0.749, 0.626)
Os (0.500, 0.500, 0.500)
Os (0.251, 0.251, 0.374)
Os (0.000, 0.000, 0.250)
Os (0.750, 0.750, 0.125)

Results
The calculation puts the energy above the lowest structure with this stoichiometry at 1.6 meV per atom. Its energy is -11.26 eV per atom. As for the energy of formation from the pure elements: 12 kJ per mole of atoms. The volume is 14.424 Å³/atom.

---

Record 4
VASP calculation (GGA-PBE) on crystalline Re4Os3 at its relaxed geometry.

Cell: 7.154 7.154 7.154 Å, 35.26 35.26 35.26°
Element x y z (fractional)
Re (0.099, 0.099, 0.099)
Re (0.767, 0.767, 0.767)
Re (0.233, 0.233, 0.233)
Re (0.901, 0.901, 0.901)
Os (0.633, 0.633, 0.633)
Os (0.367, 0.367, 0.367)
Os (0.500, 0.500, 0.500)

Results
The calculation puts the energy above the lowest structure with this stoichiometry at 355.6 meV per atom. Its energy is -11.51 eV per atom. As for the energy of formation from the pure elements: 40 kJ per mole of atoms. The volume is 15.569 Å³/atom.

---

Record 5
VASP calculation (GGA-PBE) on crystalline Re5Os at its relaxed geometry.

Cell: 5.092 5.092 5.092 Å, 60.00 60.00 60.00°
Element x y z (fractional)
Re (0.625, 0.625, 0.124)
Re (0.250, 0.250, 0.250)
Re (0.625, 0.625, 0.625)
Re (0.124, 0.625, 0.625)
Re (0.625, 0.124, 0.625)
Os (0.000, 0.000, 0.000)

Results
The calculation puts the energy above the lowest structure with this stoichiometry at 489.4 meV per atom. Its energy is -11.80 eV per atom. As for the energy of formation from the pure elements: 43 kJ per mole of atoms. The volume is 15.558 Å³/atom.

---

Record 6
VASP calculation (GGA-PBE) on crystalline ReOs2 at its relaxed geometry.

Cell: 2.742 2.742 6.710 Å, 90.00 90.00 120.00°
Element x y z (fractional)
Os (0.000, 0.000, 0.001)
Os (0.333, 0.667, 0.666)
Re (0.667, 0.333, 0.333)

Results
The calculation puts the energy above the lowest structure with this stoichiometry at 180.9 meV per atom. Its energy is -11.53 eV per atom. As for the energy of formation from the pure elements: 10 kJ per mole of atoms. The volume is 14.562 Å³/atom.

---

Record 7
VASP calculation (GGA-PBE) on crystalline Re4Os3 at its relaxed geometry.

Cell: 7.145 7.145 7.145 Å, 35.29 35.29 35.29°
Element x y z (fractional)
Re (0.410, 0.410, 0.410)
Re (0.875, 0.875, 0.875)
Re (0.545, 0.545, 0.545)
Re (0.277, 0.277, 0.277)
Os (0.009, 0.009, 0.009)
Os (0.742, 0.742, 0.742)
Os (0.141, 0.141, 0.141)

Results
The calculation puts the energy above the lowest structure with this stoichiometry at 336.2 meV per atom. Its energy is -11.53 eV per atom. As for the energy of formation from the pure elements: 39 kJ per mole of atoms. The volume is 15.537 Å³/atom.

---

Record 8
VASP calculation (GGA-PBE) on crystalline ReOs5 at its relaxed geometry.

Cell: 3.866 3.867 6.112 Å, 108.44 90.00 90.00°
Element x y z (fractional)
Re (0.000, 0.000, 0.000)
Os (0.000, 0.666, 0.333)
Os (0.000, 0.334, 0.667)
Os (0.500, 0.500, 0.000)
Os (0.500, 0.167, 0.333)
Os (0.500, 0.833, 0.667)

Results
The calculation puts the energy above the lowest structure with this stoichiometry at 160.9 meV per atom. Its energy is -11.33 eV per atom. As for the energy of formation from the pure elements: 10 kJ per mole of atoms. The volume is 14.444 Å³/atom.

---

Record 9
VASP calculation (GGA-PBE) on crystalline Re5Os at its relaxed geometry.

Cell: 5.045 5.045 4.497 Å, 90.00 90.00 120.00°
Element x y z (fractional)
Re (0.000, 0.500, 0.500)
Re (0.333, 0.667, 0.000)
Re (0.500, 0.000, 0.500)
Re (0.500, 0.500, 0.500)
Re (0.667, 0.333, 0.000)
Os (0.000, 0.000, 0.000)

Results
The calculation puts the energy above the lowest structure with this stoichiometry at 849.4 meV per atom. Its energy is -11.44 eV per atom. As for the energy of formation from the pure elements: 78 kJ per mole of atoms. The volume is 16.519 Å³/atom.

---

Record 10
VASP calculation (GGA-PBE) on crystalline ReOs5 at its relaxed geometry.

Cell: 5.036 5.036 4.424 Å, 90.00 90.00 120.00°
Element x y z (fractional)
Re (0.000, 0.000, 0.000)
Os (0.000, 0.500, 0.500)
Os (0.333, 0.667, 0.000)
Os (0.500, 0.000, 0.500)
Os (0.500, 0.500, 0.500)
Os (0.667, 0.333, 0.000)

Results
The calculation puts the energy above the lowest structure with this stoichiometry at 1134.2 meV per atom. Its energy is -10.35 eV per atom. As for the energy of formation from the pure elements: 104 kJ per mole of atoms. The volume is 16.194 Å³/atom.

---

Record 11
VASP calculation (GGA-PBE) on crystalline Re5Os at its relaxed geometry.

Cell: 6.780 5.551 8.279 Å, 90.00 90.00 144.96°
Element x y z (fractional)
Re (0.747, 0.370, 0.250)
Re (0.253, 0.630, 0.750)
Re (0.751, 0.378, 0.915)
Re (0.249, 0.622, 0.415)
Re (0.249, 0.622, 0.085)
Re (0.751, 0.378, 0.585)
Re (0.749, 0.871, 0.918)
Re (0.251, 0.129, 0.418)
Re (0.251, 0.129, 0.082)
Re (0.749, 0.871, 0.582)
Os (0.751, 0.877, 0.250)
Os (0.249, 0.123, 0.750)

Results
The calculation puts the energy above the lowest structure with this stoichiometry at 93.5 meV per atom. Its energy is -12.19 eV per atom. As for the energy of formation from the pure elements: 5 kJ per mole of atoms. The volume is 14.907 Å³/atom.

---

Record 12
VASP calculation (GGA-PBE) on crystalline ReOs2 at its relaxed geometry.

Cell: 12.061 12.061 12.061 Å, 166.83 166.83 18.67°
Element x y z (fractional)
Re (0.750, 0.250, 0.500)
Re (0.000, 0.000, 0.000)
Os (0.172, 0.672, 0.500)
Os (0.578, 0.578, 0.000)
Os (0.328, 0.828, 0.500)
Os (0.422, 0.422, 0.000)

Results
The calculation puts the energy above the lowest structure with this stoichiometry at 391.0 meV per atom. Its energy is -11.32 eV per atom. As for the energy of formation from the pure elements: 31 kJ per mole of atoms. The volume is 15.175 Å³/atom.

---

Record 13
VASP calculation (GGA-PBE) on crystalline ReOsRh3 at its relaxed geometry.

Cell: 4.636 4.636 4.636 Å, 90.00 90.00 90.00°
Element x y z (fractional)
Re (0.000, 0.000, 0.000)
Os (0.500, 0.500, 0.500)
Rh (0.000, 0.500, 0.000)
Rh (0.000, 0.000, 0.500)
Rh (0.500, 0.000, 0.000)

Results
The calculation puts the energy above the lowest structure with this stoichiometry at 1699.7 meV per atom. Its energy is -7.22 eV per atom. As for the energy of formation from the pure elements: 186 kJ per mole of atoms. The volume is 19.928 Å³/atom.

---

Record 14
VASP calculation (GGA-PBE) on crystalline Re2Os2Rh at its relaxed geometry.

Cell: 7.443 7.443 2.796 Å, 90.00 90.00 90.00°
Element x y z (fractional)
Re (0.167, 0.667, 0.500)
Re (0.667, 0.833, 0.500)
Re (0.833, 0.333, 0.500)
Re (0.333, 0.167, 0.500)
Os (0.372, 0.872, 0.000)
Os (0.872, 0.628, 0.000)
Os (0.628, 0.128, 0.000)
Os (0.128, 0.372, 0.000)
Rh (0.000, 0.000, 0.000)
Rh (0.500, 0.500, 0.000)

Results
Its energy is -10.72 eV per atom. As for the energy of formation from the pure elements: 21 kJ per mole of atoms. The volume is 15.489 Å³/atom.

---

Record 15
VASP calculation (GGA-PBE) on crystalline ReOs3Rh at its relaxed geometry.

Cell: 4.667 4.667 4.667 Å, 90.00 90.00 90.00°
Element x y z (fractional)
Re (0.000, 0.000, 0.000)
Os (0.000, 0.500, 0.000)
Os (0.000, 0.000, 0.500)
Os (0.500, 0.000, 0.000)
Rh (0.500, 0.500, 0.500)

Results
The calculation puts the energy above the lowest structure with this stoichiometry at 2206.1 meV per atom. Its energy is -8.29 eV per atom. As for the energy of formation from the pure elements: 232 kJ per mole of atoms. The volume is 20.325 Å³/atom.

---

Record 16
VASP calculation (GGA-PBE) on crystalline Re2OsRh4 at its relaxed geometry.

Cell: 4.771 4.771 6.921 Å, 69.84 69.84 90.00°
Element x y z (fractional)
Re (0.601, 0.601, 0.799)
Re (0.399, 0.399, 0.201)
Os (0.000, 0.000, 0.000)
Rh (0.794, 0.794, 0.412)
Rh (0.206, 0.206, 0.588)
Rh (0.000, 0.500, 0.000)
Rh (0.500, 0.000, 0.000)

Results
Its energy is -7.82 eV per atom. As for the energy of formation from the pure elements: 149 kJ per mole of atoms. The volume is 19.651 Å³/atom.

---

Record 17
VASP calculation (GGA-PBE) on crystalline Re3OsRh at its relaxed geometry.

Cell: 4.656 4.656 4.656 Å, 90.00 90.00 90.00°
Element x y z (fractional)
Re (0.000, 0.500, 0.000)
Re (0.000, 0.000, 0.500)
Re (0.500, 0.000, 0.000)
Os (0.000, 0.000, 0.000)
Rh (0.500, 0.500, 0.500)

Results
The calculation puts the energy above the lowest structure with this stoichiometry at 2110.5 meV per atom. Its energy is -8.90 eV per atom. As for the energy of formation from the pure elements: 220 kJ per mole of atoms. The volume is 20.191 Å³/atom.

---

Record 18
VASP calculation (GGA-PBE) on crystalline ReOs4Rh at its relaxed geometry.

Cell: 5.061 5.503 7.949 Å, 69.75 79.26 57.44°
Element x y z (fractional)
Re (0.250, 0.777, 0.945)
Re (0.750, 0.223, 0.055)
Os (0.737, 0.317, 0.391)
Os (0.756, 0.120, 0.740)
Os (0.237, 0.208, 0.609)
Os (0.256, 0.360, 0.260)
Os (0.263, 0.683, 0.609)
Os (0.763, 0.792, 0.391)
Os (0.244, 0.880, 0.260)
Os (0.744, 0.640, 0.740)
Rh (0.250, 0.278, 0.943)
Rh (0.750, 0.722, 0.057)

Results
The calculation puts the energy above the lowest structure with this stoichiometry at 0.0 meV per atom. Its energy is -10.63 eV per atom. As for the energy of formation from the pure elements: 15 kJ per mole of atoms. The volume is 14.587 Å³/atom.

---

Record 19
VASP calculation (GGA-PBE) on crystalline ReOs3Rh at its relaxed geometry.

Cell: 4.407 5.476 6.546 Å, 90.00 109.69 90.00°
Element x y z (fractional)
Re (0.120, 0.250, 0.740)
Re (0.880, 0.750, 0.260)
Os (0.312, 0.005, 0.123)
Os (0.688, 0.505, 0.877)
Os (0.123, 0.750, 0.746)
Os (0.877, 0.250, 0.254)
Os (0.688, 0.995, 0.877)
Os (0.312, 0.495, 0.123)
Rh (0.499, 0.250, 0.498)
Rh (0.501, 0.750, 0.502)

Results
The calculation puts the energy above the lowest structure with this stoichiometry at 0.0 meV per atom. Its energy is -10.49 eV per atom. As for the energy of formation from the pure elements: 20 kJ per mole of atoms. The volume is 14.873 Å³/atom.

---

Record 20
VASP calculation (GGA-PBE) on crystalline ReOs2Rh6 at its relaxed geometry.

Cell: 5.214 5.214 6.872 Å, 67.71 67.71 60.00°
Element x y z (fractional)
Re (0.336, 0.336, 0.992)
Os (0.726, 0.726, 0.823)
Os (0.601, 0.601, 0.198)
Rh (0.782, 0.269, 0.680)
Rh (0.269, 0.782, 0.680)
Rh (0.269, 0.269, 0.680)
Rh (0.055, 0.572, 0.317)
Rh (0.055, 0.055, 0.317)
Rh (0.572, 0.055, 0.317)

Results
Its energy is -8.31 eV per atom. As for the energy of formation from the pure elements: 45 kJ per mole of atoms. The volume is 16.158 Å³/atom.

---

Record 21
VASP calculation (GGA-PBE) on crystalline ReOs4Rh at its relaxed geometry.

Cell: 5.081 5.081 5.081 Å, 60.00 60.00 60.00°
Element x y z (fractional)
Re (0.750, 0.750, 0.750)
Os (0.876, 0.375, 0.375)
Os (0.375, 0.375, 0.876)
Os (0.375, 0.876, 0.375)
Os (0.375, 0.375, 0.375)
Rh (0.000, 0.000, 0.000)

Results
The calculation puts the energy above the lowest structure with this stoichiometry at 541.6 meV per atom. Its energy is -10.09 eV per atom. As for the energy of formation from the pure elements: 67 kJ per mole of atoms. The volume is 15.456 Å³/atom.

---

Record 22
VASP calculation (GGA-PBE) on crystalline Re3OsRh at its relaxed geometry.

Cell: 4.418 5.501 6.608 Å, 90.01 109.56 90.00°
Element x y z (fractional)
Re (0.312, 0.001, 0.124)
Re (0.688, 0.501, 0.876)
Re (0.117, 0.750, 0.732)
Re (0.883, 0.250, 0.268)
Re (0.688, 0.999, 0.876)
Re (0.312, 0.499, 0.124)
Os (0.124, 0.250, 0.747)
Os (0.876, 0.750, 0.253)
Rh (0.502, 0.250, 0.503)
Rh (0.498, 0.750, 0.497)

Results
The calculation puts the energy above the lowest structure with this stoichiometry at 0.0 meV per atom. Its energy is -11.01 eV per atom. As for the energy of formation from the pure elements: 17 kJ per mole of atoms. The volume is 15.134 Å³/atom.

---

Record 23
VASP calculation (GGA-PBE) on crystalline ReOs2Rh4 at its relaxed geometry.

Cell: 4.631 7.085 4.635 Å, 130.92 108.54 77.98°
Element x y z (fractional)
Re (0.000, 0.000, 0.000)
Os (0.500, 0.000, 0.500)
Os (0.500, 0.500, 0.000)
Rh (0.000, 0.745, 0.244)
Rh (0.500, 0.745, 0.745)
Rh (0.500, 0.255, 0.255)
Rh (0.000, 0.255, 0.756)

Results
Its energy is -8.89 eV per atom. As for the energy of formation from the pure elements: 28 kJ per mole of atoms. The volume is 15.564 Å³/atom.

---

Record 24
VASP calculation (GGA-PBE) on crystalline Re4OsRh at its relaxed geometry.

Cell: 5.106 5.106 5.106 Å, 60.00 60.00 60.00°
Element x y z (fractional)
Re (0.873, 0.376, 0.376)
Re (0.376, 0.376, 0.376)
Re (0.376, 0.376, 0.873)
Re (0.376, 0.873, 0.376)
Os (0.000, 0.000, 0.000)
Rh (0.750, 0.750, 0.750)

Results
The calculation puts the energy above the lowest structure with this stoichiometry at 450.0 meV per atom. Its energy is -10.93 eV per atom. As for the energy of formation from the pure elements: 45 kJ per mole of atoms. The volume is 15.686 Å³/atom.

---

Record 25
VASP calculation (GGA-PBE) on crystalline ReOsRh3 at its relaxed geometry.

Cell: 2.707 7.053 8.441 Å, 72.74 90.00 101.06°
Element x y z (fractional)
Re (0.096, 0.191, 0.950)
Re (0.904, 0.809, 0.050)
Os (0.396, 0.793, 0.537)
Os (0.604, 0.207, 0.463)
Rh (0.991, 0.983, 0.719)
Rh (0.009, 0.017, 0.281)
Rh (0.687, 0.374, 0.132)
Rh (0.313, 0.626, 0.868)
Rh (0.803, 0.607, 0.355)
Rh (0.197, 0.393, 0.645)

Results
The calculation puts the energy above the lowest structure with this stoichiometry at 0.0 meV per atom. Its energy is -8.92 eV per atom. As for the energy of formation from the pure elements: 22 kJ per mole of atoms. The volume is 15.079 Å³/atom.

---

Record 26
VASP calculation (GGA-PBE) on crystalline ReOs3Rh at its relaxed geometry.

Cell: 4.570 4.570 4.570 Å, 90.00 90.00 90.00°
Element x y z (fractional)
Re (0.500, 0.500, 0.500)
Os (0.000, 0.500, 0.000)
Os (0.000, 0.000, 0.500)
Os (0.500, 0.000, 0.000)
Rh (0.000, 0.000, 0.000)

Results
The calculation puts the energy above the lowest structure with this stoichiometry at 2657.2 meV per atom. Its energy is -7.84 eV per atom. As for the energy of formation from the pure elements: 276 kJ per mole of atoms. The volume is 19.089 Å³/atom.